[1]
La8Pm2Sm3: relaxed, PBE-GGA.

```
La8Pm2Sm3
1.0
10.4303 -3.8748 0.0000
10.4303 3.8748 0.0000
-0.0024 0.0000 5.9086
La Pm Sm
8 2 3
Direct
0.0985 0.6930 0.0000
0.1739 0.1739 0.5005
0.3070 0.9015 0.0000
0.3662 0.3662 0.5005
0.6338 0.6338 0.4995
0.6930 0.0985 0.0000
0.8261 0.8261 0.4995
0.9015 0.3070 0.0000
0.2581 0.2581 0.0006
0.7419 0.7419 0.9994
0.2187 0.7813 0.5000
0.5000 0.5000 0.0000
0.7813 0.2187 0.5000
```

## Properties
* final energy: -4.677 eV/atom
* DOS at the Fermi energy: 19.09 states/eV/cell
* formation enthalpy at 0 K: 175 meV/atom
* relative energy among the computed polymorphs: 28.4 meV per atom

[2]
K2FeNiAu: relaxed, PBE-GGA.

```
K2FeNiAu
1.0
6.2696 0.0000 0.0000
0.0000 6.2696 0.0000
0.0000 0.0000 4.3541
K Fe Ni Au
2 1 1 1
Direct
0.0000 0.5000 0.0000
0.5000 0.0000 0.0000
0.0000 0.0000 0.0000
0.0000 0.0000 0.5000
0.5000 0.5000 0.5000
```

## Properties
* final energy: -3.180 eV/atom
* DOS at the Fermi energy: 4.77 states/eV/cell
* formation enthalpy at 0 K: 763 meV/atom

[3]
La6Tb4Pm: relaxed, PBE-GGA.

```
La6Tb4Pm
1.0
11.2166 0.0000 0.0000
-5.6083 9.7138 0.0000
0.0000 0.0000 3.6293
La Tb Pm
6 4 1
Direct
0.1830 0.3659 0.0000
0.1830 0.8170 0.0000
0.5299 0.0597 0.5000
0.5299 0.4701 0.5000
0.6341 0.8170 0.0000
0.9403 0.4701 0.5000
0.3181 0.1591 0.0000
0.3333 0.6667 0.5000
0.8409 0.1591 0.0000
0.8409 0.6819 0.0000
0.0000 0.0000 0.5000
```

## Properties
* final energy: -4.671 eV/atom
* DOS at the Fermi energy: 17.31 states/eV/cell
* formation enthalpy at 0 K: 132 meV/atom

[4]
CsSn3As: relaxed, PBE-GGA.

```
CsSn3As
1.0
6.1295 0.0000 0.0000
0.0000 6.1295 0.0000
0.0000 0.0000 6.1295
Cs Sn As
1 3 1
Direct
0.0000 0.0000 0.0000
0.0000 0.0000 0.5000
0.0000 0.5000 0.0000
0.5000 0.0000 0.0000
0.5000 0.5000 0.5000
```

## Properties
* final energy: -1.829 eV/atom
* DOS at the Fermi energy: 5.59 states/eV/cell
* formation enthalpy at 0 K: 1673 meV/atom
* relative energy among the computed polymorphs: 1424.9 meV per atom

[5]
Ho2Be4Si3Tc: relaxed, PBE-GGA.

```
Ho2Be4Si3Tc
1.0
3.7782 0.0000 0.0000
0.0000 3.7782 0.0000
0.0000 0.0000 10.0418
Ho Be Si Tc
2 4 3 1
Direct
0.0000 0.5000 0.2429
0.5000 0.0000 0.7571
0.0000 0.0000 0.0000
0.0000 0.5000 0.6412
0.5000 0.0000 0.3588
0.5000 0.5000 0.0000
0.0000 0.5000 0.8691
0.5000 0.0000 0.1309
0.5000 0.5000 0.5000
0.0000 0.0000 0.5000
```

## Properties
* formation energy from raw total energies: -0.3921 eV/atom
* final energy: -5.462 eV/atom
* DOS at the Fermi energy: 5.31 states/eV/cell

[6]
TbErPu2: relaxed, PBE-GGA.

```
TbErPu2
1.0
4.8057 0.0000 0.0000
0.0000 4.8057 0.0000
0.0000 0.0000 5.0269
Tb Er Pu
1 1 2
Direct
0.0000 0.0000 0.0000
0.5000 0.5000 0.0000
0.0000 0.5000 0.5000
0.5000 0.0000 0.5000
```

## Properties
* final energy: -9.290 eV/atom
* DOS at the Fermi energy: 14.44 states/eV/cell
* formation enthalpy at 0 K: 174 meV/atom
* relative energy among the computed polymorphs: 2.3 meV per atom

[7]
AcSmY3: relaxed, PBE-GGA.

```
AcSmY3
1.0
9.2222 -2.4809 0.0000
9.2222 2.4809 0.0000
-3.2749 0.0000 8.0343
Ac Sm Y
2 2 6
Direct
0.1151 0.1151 0.1498
0.8849 0.8849 0.8502
0.3116 0.3116 0.1088
0.6884 0.6884 0.8912
0.0562 0.0562 0.6984
0.2274 0.2274 0.6272
0.4151 0.4151 0.5535
0.5849 0.5849 0.4465
0.7726 0.7726 0.3728
0.9438 0.9438 0.3016
```

## Properties
* final energy: -5.487 eV/atom
* DOS at the Fermi energy: 15.87 states/eV/cell
* formation enthalpy at 0 K: 157 meV/atom
* relative energy among the computed polymorphs: 15.1 meV per atom

[8]
Pr3HgSeCl: relaxed, PBE-GGA.

```
Pr3HgSeCl
1.0
8.0079 0.0000 0.0000
0.0000 4.2633 0.0000
-3.6044 0.0000 10.5047
Pr Hg Se Cl
6 2 2 2
Direct
0.1669 0.2500 0.1398
0.2126 0.2500 0.4945
0.3189 0.7500 0.8344
0.6811 0.2500 0.1656
0.7874 0.7500 0.5055
0.8331 0.7500 0.8602
0.0074 0.2500 0.7122
0.9926 0.7500 0.2878
0.4067 0.7500 0.1128
0.5933 0.2500 0.8872
0.4720 0.7500 0.6174
0.5280 0.2500 0.3826
```

## Properties
* formation energy from raw total energies: -1.1858 eV/atom
* final energy: -4.514 eV/atom
* DOS at the Fermi energy: 8.80 states/eV/cell

[9]
SmHfNi: relaxed, PBE-GGA.

```
SmHfNi
1.0
3.3318 0.0000 0.0000
0.0000 3.3318 0.0000
0.0000 0.0000 11.7876
Sm Hf Ni
2 2 2
Direct
0.0000 0.0000 0.0000
0.5000 0.5000 0.5000
0.0000 0.0000 0.2816
0.5000 0.5000 0.7816
0.0000 0.0000 0.6888
0.5000 0.5000 0.1888
```

## Properties
* final energy: -6.978 eV/atom
* DOS at the Fermi energy: 7.63 states/eV/cell
* formation enthalpy at 0 K: -160 meV/atom

[10]
HfTlBr6: relaxed, PBE-GGA.

```
HfTlBr6
1.0
8.7903 0.0000 0.0000
0.0000 9.9939 0.0000
-1.5113 0.0000 6.3695
Hf Tl Br
2 2 12
Direct
0.0000 0.0000 0.0000
0.5000 0.5000 0.0000
0.0000 0.5000 0.5000
0.5000 0.0000 0.5000
0.0907 0.1835 0.2864
0.0907 0.8165 0.2864
0.2182 0.5000 0.0653
0.2818 0.0000 0.9347
0.4093 0.3165 0.7136
0.4093 0.6835 0.7136
0.5907 0.3165 0.2864
0.5907 0.6835 0.2864
0.7182 0.0000 0.0653
0.7818 0.5000 0.9347
0.9093 0.1835 0.7136
0.9093 0.8165 0.7136
```

## Properties
* formation energy from raw total energies: -0.9980 eV/atom
* final energy: -3.793 eV/atom
* DOS at the Fermi energy: 23.03 states/eV/cell

[11]
BaNb2Pd: relaxed, PBE-GGA.

```
BaNb2Pd
1.0
4.9117 0.0000 0.0000
0.0000 4.9117 0.0000
0.0000 0.0000 19.7831
Ba Nb Pd
4 8 4
Direct
0.0000 0.2500 0.3750
0.0000 0.7500 0.6250
0.5000 0.2500 0.1250
0.5000 0.7500 0.8750
0.0000 0.0000 0.0000
0.0000 0.5000 0.0000
0.2500 0.2500 0.7500
0.2500 0.7500 0.2500
0.5000 0.0000 0.5000
0.5000 0.5000 0.5000
0.7500 0.2500 0.7500
0.7500 0.7500 0.2500
0.0000 0.2500 0.8750
0.0000 0.7500 0.1250
0.5000 0.2500 0.6250
0.5000 0.7500 0.3750
```

## Properties
* final energy: -6.008 eV/atom
* DOS at the Fermi energy: 35.96 states/eV/cell
* formation enthalpy at 0 K: 806 meV/atom
* relative energy among the computed polymorphs: 0.0 meV per atom

[12]
LiCa2NiN2: relaxed, PBE-GGA.

```
LiCa2NiN2
1.0
5.9897 0.0000 0.0000
0.0000 7.6857 0.0000
0.0000 0.0000 3.9353
Li Ca Ni N
2 4 2 4
Direct
0.0000 0.0000 0.0000
0.5000 0.5000 0.5000
0.1280 0.2444 0.5000
0.3720 0.7444 0.0000
0.6280 0.2556 0.0000
0.8720 0.7556 0.5000
0.0000 0.5000 0.0000
0.5000 0.0000 0.5000
0.2244 0.9014 0.5000
0.2756 0.4014 0.0000
0.7244 0.5986 0.0000
0.7756 0.0986 0.5000
```

## Properties
* formation energy from raw total energies: -0.4617 eV/atom
* final energy: -5.187 eV/atom
* DOS at the Fermi energy: 6.27 states/eV/cell
* relative energy among the computed polymorphs: 214.5 meV per atom

[13]
Ho8TmSc4: relaxed, PBE-GGA.

```
Ho8TmSc4
1.0
3.4719 2.0045 9.1872
-3.4719 2.0045 9.1872
0.0000 -4.0091 9.1872
Ho Tm Sc
8 1 4
Direct
0.2120 0.2120 0.2120
0.2155 0.7519 0.7519
0.2481 0.2481 0.7845
0.2481 0.7845 0.2481
0.7519 0.2155 0.7519
0.7519 0.7519 0.2155
0.7845 0.2481 0.2481
0.7880 0.7880 0.7880
0.5000 0.5000 0.5000
0.0000 0.0000 0.0000
0.0000 0.5000 0.5000
0.5000 0.0000 0.5000
0.5000 0.5000 0.0000
```

## Properties
* final energy: -4.845 eV/atom
* DOS at the Fermi energy: 17.08 states/eV/cell
* formation enthalpy at 0 K: 264 meV/atom

[14]
Pa3MnTe6: relaxed, PBE-GGA.

```
Pa3MnTe6
1.0
6.1493 -7.0216 0.0000
6.1493 7.0216 0.0000
0.0000 0.0000 6.9866
Pa Mn Te
6 2 12
Direct
0.1373 0.8627 0.5000
0.2386 0.4376 0.3856
0.4376 0.2386 0.8856
0.5624 0.7614 0.3856
0.7614 0.5624 0.8856
0.8627 0.1373 0.0000
0.2553 0.7447 0.6933
0.7447 0.2553 0.1933
0.0281 0.5528 0.6442
0.1333 0.1914 0.6864
0.1914 0.1333 0.1864
0.2783 0.7217 0.1356
0.4472 0.9719 0.6442
0.4504 0.5496 0.7065
0.5496 0.4504 0.2065
0.5528 0.0281 0.1442
0.7217 0.2783 0.6356
0.8086 0.8667 0.6864
0.8667 0.8086 0.1864
0.9719 0.4472 0.1442
```

## Properties
* formation energy from raw total energies: -0.5938 eV/atom
* final energy: -6.245 eV/atom
* DOS at the Fermi energy: 12.08 states/eV/cell

[15]
Y2BiSb: relaxed, PBE-GGA.

```
Y2BiSb
1.0
4.3957 0.0000 0.0000
-2.1978 3.8068 0.0000
0.0000 0.0000 22.6446
Y Bi Sb
6 3 3
Direct
0.0000 0.0000 0.0000
0.0000 0.0000 0.1668
0.3333 0.6667 0.6667
0.3333 0.6667 0.8335
0.6667 0.3333 0.3333
0.6667 0.3333 0.5002
0.0000 0.0000 0.5849
0.3333 0.6667 0.2515
0.6667 0.3333 0.9182
0.0000 0.0000 0.4154
0.3333 0.6667 0.0821
0.6667 0.3333 0.7487
```

## Properties
* formation energy from raw total energies: -0.9162 eV/atom
* final energy: -6.149 eV/atom
* DOS at the Fermi energy: 1.50 states/eV/cell
* relative energy among the computed polymorphs: 115.3 meV per atom

[16]
TaTlCd: relaxed, PBE-GGA.

```
TaTlCd
1.0
3.3284 0.0000 0.0000
0.0000 5.1606 0.0000
0.0000 0.0000 15.0633
Ta Tl Cd
4 4 4
Direct
0.0000 0.0000 0.0000
0.0000 0.5000 0.5000
0.5000 0.0000 0.5000
0.5000 0.5000 0.0000
0.0000 0.0000 0.3357
0.0000 0.5000 0.8357
0.5000 0.0000 0.8357
0.5000 0.5000 0.3357
0.0000 0.0000 0.6603
0.0000 0.5000 0.1603
0.5000 0.0000 0.1603
0.5000 0.5000 0.6603
```

## Properties
* final energy: -4.566 eV/atom
* DOS at the Fermi energy: 6.68 states/eV/cell
* formation enthalpy at 0 K: 478 meV/atom
* relative energy among the computed polymorphs: 16.1 meV per atom

[17]
Tb4Er3Se8: relaxed, PBE-GGA.

```
Tb4Er3Se8
1.0
5.7321 -5.7338 0.0000
5.7321 5.7338 0.0000
-5.7274 0.0000 5.7352
Tb Er Se
4 3 8
Direct
0.0000 0.0000 0.0000
0.0000 0.5000 0.0000
0.5000 0.0000 0.0000
0.5000 0.5000 0.5000
0.0000 0.5000 0.5000
0.5000 0.0000 0.5000
0.5000 0.5000 0.0000
0.2453 0.7547 0.5000
0.2469 0.2469 0.5035
0.2471 0.2471 0.9907
0.2517 0.7483 0.0000
0.7483 0.2517 0.0000
0.7529 0.7529 0.0093
0.7531 0.7531 0.4965
0.7547 0.2453 0.5000
```

## Properties
* formation energy from raw total energies: -1.8219 eV/atom
* final energy: -5.828 eV/atom
* DOS at the Fermi energy: 6.09 states/eV/cell

[18]
RbAcPb2O4: relaxed, PBE-GGA.

```
RbAcPb2O4
1.0
4.2957 0.0000 0.0000
0.0000 4.2957 0.0000
0.0000 0.0000 9.0742
Rb Ac Pb O
1 1 2 4
Direct
0.0000 0.0000 0.0000
0.0000 0.0000 0.5000
0.5000 0.5000 0.2302
0.5000 0.5000 0.7698
0.0000 0.5000 0.3308
0.0000 0.5000 0.6692
0.5000 0.0000 0.3308
0.5000 0.0000 0.6692
```

## Properties
* formation energy from raw total energies: -1.7752 eV/atom
* final energy: -5.816 eV/atom
* DOS at the Fermi energy: 0.99 states/eV/cell

[19]
CaNdSi2Pt5: relaxed, PBE-GGA.

```
CaNdSi2Pt5
1.0
4.2116 0.0000 0.0000
0.0000 4.2116 0.0000
0.0000 0.0000 9.1379
Ca Nd Si Pt
1 1 2 5
Direct
0.0000 0.0000 0.0000
0.0000 0.0000 0.5000
0.5000 0.5000 0.1316
0.5000 0.5000 0.8684
0.0000 0.5000 0.2616
0.0000 0.5000 0.7384
0.5000 0.0000 0.2616
0.5000 0.0000 0.7384
0.5000 0.5000 0.5000
```

## Properties
* formation energy from raw total energies: -0.9819 eV/atom
* final energy: -6.295 eV/atom
* DOS at the Fermi energy: 4.23 states/eV/cell